This record from Alexandria describes Cs4PuS5 after structural relaxation. The functional is GGA-PBE.

```
Cs4PuS5
1.0
-2.494 -1.869 -6.361
2.547 -7.358 -2.781
-7.121 -4.201 0.082
Cs Pu S
4 1 5
direct
0.415 0.395 0.798
0.810 0.798 0.605
0.213 0.202 0.395
0.608 0.605 0.202
0.043 0.000 0.000
0.932 0.301 0.848
0.233 0.848 0.699
0.779 0.152 0.301
0.081 0.699 0.152
0.396 0.000 0.000
```

Computed properties:
The calculation puts the theoretical density at 3.93 g cm⁻³. The total energy is -4.94 eV per atom. Its total moment is 2.00 μB/f.u. The value obtained for the uncorrected formation energy is -1.099 eV/atom.